Entry 1:
An optimized crystal structure of MgAl2Co. Source: Alexandria via LeMat-Bulk, functional PBE.

a = 4.6540 Å, b = 4.6540 Å, c = 4.6540 Å
α = 129.84°, β = 129.84°, γ = 73.67°
Last column: nearest neighbours and their distance in Å.
Fractional coordinates of all 4 atoms:
Mg (0.0000, 0.0000, 0.0000)  8 Al 2.71, 4 Co 2.79
Al (0.2500, 0.7500, 0.5000)  4 Co 2.71, 4 Mg 2.71, 4 Al 2.79
Al (0.7500, 0.2500, 0.5000)  4 Co 2.71, 4 Mg 2.71, 4 Al 2.79
Co (0.5000, 0.5000, 0.0000)  8 Al 2.71, 4 Mg 2.79

Summary:
Energy of formation from the pure elements ... -0.146 eV per atom
Density of states at the Fermi level ... 1.64 states/eV per cell
M_tot ... 0.0000 μB per atom

Entry 2:
An optimized crystal structure of Pm4AsPBr2. Source: Alexandria via LeMat-Bulk, functional PBE.

a = 7.3050 Å, b = 4.1847 Å, c = 7.5960 Å
α = 90.00°, β = 108.71°, γ = 90.00°
Last column: nearest neighbours and their distance in Å.
Fractional coordinates of all 8 atoms:
Pm (0.2234, 0.0000, 0.2029)  2 P 2.79, 1 As 2.91
Pm (0.2515, 0.5000, 0.7950)  1 P 2.76, 2 As 2.88
Pm (0.7485, 0.5000, 0.2050)  1 P 2.76, 2 As 2.88
Pm (0.7766, 0.0000, 0.7971)  2 P 2.79, 1 As 2.91
As (0.5000, 0.0000, 0.0000)  6 Pm 2.88-2.91
P (0.0000, 0.5000, 0.0000)  6 Pm 2.76-2.79
Br (0.0000, 0.0000, 0.5000)  6 Pm 3.18
Br (0.5000, 0.5000, 0.5000)  6 Pm 3.26-3.31

Summary:
Density of states at the Fermi level ... 2.79 states/eV per cell
M_tot ... 0.0000 μB per atom
Energy relative to the elements, uncorrected ... -1460 meV per atom

Entry 3:
An optimized crystal structure of Ta2TcOs. Source: Alexandria via LeMat-Bulk, functional PBE.

a = 2.8102 Å, b = 2.8102 Å, c = 8.3693 Å
α = 90.00°, β = 90.00°, γ = 90.00°
Last column: nearest neighbours and their distance in Å.
Fractional coordinates of all 4 atoms:
Ta (0.0000, 0.0000, 0.0000)  8 Ta 2.81-3.07, 4 Os 2.90
Ta (0.5000, 0.5000, 0.2797)  8 Ta 2.81-3.07, 4 Tc 2.97
Tc (0.0000, 0.0000, 0.5431)  4 Os 2.62, 4 Tc 2.81
Os (0.5000, 0.5000, 0.7469)  4 Tc 2.62, 4 Os 2.81, 4 Ta 2.90

Summary:
Energy of formation from the pure elements ... -0.031 eV per atom
Density of states at the Fermi level ... 3.51 states/eV per cell
M_tot ... 0.0000 μB per atom

Entry 4:
An optimized crystal structure of Ce2YCd6. Source: Alexandria via LeMat-Bulk, functional PBE.

a = 8.7972 Å, b = 8.7972 Å, c = 3.3336 Å
α = 90.00°, β = 90.00°, γ = 120.00°
Last column: nearest neighbours and their distance in Å.
Fractional coordinates of all 9 atoms:
Ce (0.3333, 0.6667, 0.0000)  2 Ce 3.33, 12 Cd 3.38
Ce (0.6667, 0.3333, 0.0000)  2 Ce 3.33, 12 Cd 3.38
Y (0.0000, 0.0000, 0.0000)  2 Y 3.33, 12 Cd 3.35
Cd (0.0000, 0.3307, 0.5000)  3 Cd 2.91-2.98
Cd (0.0000, 0.6693, 0.5000)  3 Cd 2.91-2.98
Cd (0.3307, 0.0000, 0.5000)  3 Cd 2.91-2.98
Cd (0.3307, 0.3307, 0.5000)  3 Cd 2.91-2.98
Cd (0.6693, 0.0000, 0.5000)  3 Cd 2.91-2.98
Cd (0.6693, 0.6693, 0.5000)  3 Cd 2.91-2.98

Summary:
Energy of formation from the pure elements ... -0.275 eV per atom
Density of states at the Fermi level ... 16.29 states/eV per cell
M_tot ... 0.2754 μB per atom

Entry 5:
An optimized crystal structure of NbI. Source: Alexandria via LeMat-Bulk, functional PBE.

a = 12.0573 Å, b = 12.0573 Å, c = 3.7413 Å
α = 90.00°, β = 90.00°, γ = 90.00°
Last column: nearest neighbours and their distance in Å.
Fractional coordinates of all 16 atoms:
Nb (0.0814, 0.5924, 0.0000)  5 Nb 2.75-2.97, 3 I 2.94-3.02
Nb (0.0860, 0.4183, 0.5000)  5 Nb 2.75-2.86, 3 I 2.93-2.99
Nb (0.4076, 0.0814, 0.0000)  5 Nb 2.75-2.97, 3 I 2.94-3.02
Nb (0.4183, 0.9140, 0.5000)  5 Nb 2.75-2.86, 3 I 2.93-2.99
Nb (0.5817, 0.0860, 0.5000)  5 Nb 2.75-2.86, 3 I 2.93-2.99
Nb (0.5924, 0.9186, 0.0000)  5 Nb 2.75-2.97, 3 I 2.94-3.02
Nb (0.9140, 0.5817, 0.5000)  5 Nb 2.75-2.86, 3 I 2.93-2.99
Nb (0.9186, 0.4076, 0.0000)  5 Nb 2.75-2.97, 3 I 2.94-3.02
I (0.0977, 0.2319, 0.0000)  3 Nb 2.93-3.02
I (0.2319, 0.9023, 0.0000)  3 Nb 2.93-3.02
I (0.2688, 0.5858, 0.5000)  3 Nb 2.94-2.99
I (0.4142, 0.2688, 0.5000)  3 Nb 2.94-2.99
I (0.5858, 0.7312, 0.5000)  3 Nb 2.94-2.99
I (0.7312, 0.4142, 0.5000)  3 Nb 2.94-2.99
I (0.7681, 0.0977, 0.0000)  3 Nb 2.93-3.02
I (0.9023, 0.7681, 0.0000)  3 Nb 2.93-3.02

Summary:
Density of states at the Fermi level ... 8.19 states/eV per cell
M_tot ... 0.0000 μB per atom
Energy relative to the elements, uncorrected ... -40 meV per atom

Entry 6:
An optimized crystal structure of YRePO2. Source: Alexandria via LeMat-Bulk, functional PBE.

a = 4.1038 Å, b = 4.1038 Å, c = 5.9961 Å
α = 90.00°, β = 90.00°, γ = 90.00°
Last column: nearest neighbours and their distance in Å.
Fractional coordinates of all 5 atoms:
Y (0.0000, 0.0000, 0.0000)  4 O 2.05
Re (0.5000, 0.5000, 0.5000)  4 P 2.90
P (0.0000, 0.0000, 0.5000)  4 Re 2.90, 2 Y 3.00
O (0.0000, 0.5000, 0.0000)  2 Y 2.05
O (0.5000, 0.0000, 0.0000)  2 Y 2.05

Summary:
Density of states at the Fermi level ... 4.07 states/eV per cell
M_tot ... 0.9616 μB per atom
Energy relative to the elements, uncorrected ... -41 meV per atom
Energy above the most stable polymorph in this dataset ... 1238 meV/atom

Repeat the fourth record exactly.
An optimized crystal structure of Ce2YCd6. Source: Alexandria via LeMat-Bulk, functional PBE.

a = 8.7972 Å, b = 8.7972 Å, c = 3.3336 Å
α = 90.00°, β = 90.00°, γ = 120.00°
Last column: nearest neighbours and their distance in Å.
Fractional coordinates of all 9 atoms:
Ce (0.3333, 0.6667, 0.0000)  2 Ce 3.33, 12 Cd 3.38
Ce (0.6667, 0.3333, 0.0000)  2 Ce 3.33, 12 Cd 3.38
Y (0.0000, 0.0000, 0.0000)  2 Y 3.33, 12 Cd 3.35
Cd (0.0000, 0.3307, 0.5000)  3 Cd 2.91-2.98
Cd (0.0000, 0.6693, 0.5000)  3 Cd 2.91-2.98
Cd (0.3307, 0.0000, 0.5000)  3 Cd 2.91-2.98
Cd (0.3307, 0.3307, 0.5000)  3 Cd 2.91-2.98
Cd (0.6693, 0.0000, 0.5000)  3 Cd 2.91-2.98
Cd (0.6693, 0.6693, 0.5000)  3 Cd 2.91-2.98

Summary:
Energy of formation from the pure elements ... -0.275 eV per atom
Density of states at the Fermi level ... 16.29 states/eV per cell
M_tot ... 0.2754 μB per atom

The lowest density of states at the Fermi level belongs to which entry?
MgAl2Co

Among the records above, which one has the lowest density of states at the Fermi level?
MgAl2Co

Please write out number 6 again, unchanged.
An optimized crystal structure of YRePO2. Source: Alexandria via LeMat-Bulk, functional PBE.

a = 4.1038 Å, b = 4.1038 Å, c = 5.9961 Å
α = 90.00°, β = 90.00°, γ = 90.00°
Last column: nearest neighbours and their distance in Å.
Fractional coordinates of all 5 atoms:
Y (0.0000, 0.0000, 0.0000)  4 O 2.05
Re (0.5000, 0.5000, 0.5000)  4 P 2.90
P (0.0000, 0.0000, 0.5000)  4 Re 2.90, 2 Y 3.00
O (0.0000, 0.5000, 0.0000)  2 Y 2.05
O (0.5000, 0.0000, 0.0000)  2 Y 2.05

Summary:
Density of states at the Fermi level ... 4.07 states/eV per cell
M_tot ... 0.9616 μB per atom
Energy relative to the elements, uncorrected ... -41 meV per atom
Energy above the most stable polymorph in this dataset ... 1238 meV/atom